The following is a DFT calculation (PBE) of a geometry-optimized La4Sm3Y8 structure.

abc: 12.678 12.678 12.678
angles: 32.39 32.39 32.39
Fractional coordinates of all 15 atoms:
La1 0.000 0.000 0.000
La2 0.164 0.164 0.164
La3 0.500 0.500 0.500
La4 0.836 0.836 0.836
Sm1 0.000 0.500 0.500
Sm2 0.500 0.000 0.500
Sm3 0.500 0.500 0.000
Y1 0.250 0.250 0.748
Y2 0.250 0.748 0.250
Y3 0.252 0.750 0.750
Y4 0.255 0.255 0.255
Y5 0.745 0.745 0.745
Y6 0.748 0.250 0.250
Y7 0.750 0.252 0.750
Y8 0.750 0.750 0.252

DFT formation energy	115.5	meV/atom
D(E_F)	24.5	states/eV per cell
symmetry	R-3m, No. 166

The following is a DFT calculation (PBE) of a geometry-optimized TlHgTePb structure.

abc: 12.394 12.394 12.394
angles: 25.32 25.32 25.32
Fractional coordinates of all 8 atoms:
Tl1 0.111 0.111 0.111
Tl2 0.889 0.889 0.889
Hg1 0.198 0.198 0.198
Hg2 0.802 0.802 0.802
Te1 0.382 0.382 0.382
Te2 0.618 0.618 0.618
Pb1 0.292 0.292 0.292
Pb2 0.708 0.708 0.708

E_form (uncorrected)	-28	kJ/mol of formula units
excess energy over the best structure of this formula in the dataset	0.08	eV per formula unit
D(E_F)	4.0	states/eV per cell
symmetry	R-3m, No. 166

The following is a DFT calculation (PBE) of a geometry-optimized PaReRh structure.

abc: 10.164 10.164 10.164
angles: 160.23 160.23 28.10
Fractional coordinates of all 6 atoms:
Pa1 0.121 0.121 0.000
Pa2 0.879 0.879 0.000
Re1 0.283 0.283 0.000
Re2 0.717 0.717 0.000
Rh1 0.434 0.434 0.000
Rh2 0.566 0.566 0.000

DFT formation energy	-126.0	meV/atom
D(E_F)	4.8	states/eV per cell
symmetry	I4/mmm, No. 139

The following is a DFT calculation (PBE) of a geometry-optimized NdCuSnAu structure.

abc: 4.968 4.968 4.968
angles: 60.00 60.00 60.00
Fractional coordinates of all 4 atoms:
Nd1 0.000 0.000 0.000
Cu1 0.750 0.750 0.750
Sn1 0.500 0.500 0.500
Au1 0.250 0.250 0.250

DFT formation energy	-490.0	meV/atom
D(E_F)	1.6	states/eV per cell
symmetry	F-43m, No. 216